No. 1
Here is a geometry-optimized AlOs2Se structure from the Alexandria database. Energies are from PBE.

Values from the calculation:
- crystal system = orthorhombic

Cell: 2.8944 4.8294 8.7737 Å, 90.00 90.00 90.00°
Fractional positions:
1 Al 0.0000 0.0000 0.0000
2 Al 0.5000 0.5000 0.0000
3 Os 0.0000 0.5000 0.2346
4 Os 0.0000 0.5000 0.7654
5 Os 0.5000 0.0000 0.2346
6 Os 0.5000 0.0000 0.7654
7 Se 0.0000 0.0000 0.5000
8 Se 0.5000 0.5000 0.5000

=====

No. 2
Here is a geometry-optimized AlOsSe structure from the Alexandria database. Energies are from PBE.

Values from the calculation:
- crystal system = trigonal

Cell: 3.9274 3.9274 18.6411 Å, 90.00 90.00 120.00°
Fractional positions:
1 Al 0.3333 0.6667 0.1060
2 Al 0.3333 0.6667 0.6607
3 Al 0.6667 0.3333 0.3393
4 Al 0.6667 0.3333 0.8940
5 Os 0.3333 0.6667 0.8198
6 Os 0.3333 0.6667 0.9730
7 Os 0.6667 0.3333 0.0270
8 Os 0.6667 0.3333 0.1802
9 Se 0.3333 0.6667 0.2356
10 Se 0.3333 0.6667 0.4038
11 Se 0.6667 0.3333 0.5962
12 Se 0.6667 0.3333 0.7644

=====

No. 3
Here is a geometry-optimized AlOs2Se structure from the Alexandria database. Energies are from PBE.

Values from the calculation:
- crystal system = tetragonal

Cell: 3.0615 3.0615 6.1696 Å, 90.00 90.00 90.00°
Fractional positions:
1 Al 0.0000 0.0000 0.0000
2 Os 0.5000 0.5000 0.2417
3 Os 0.5000 0.5000 0.7583
4 Se 0.0000 0.0000 0.5000

=====

No. 4
Here is a geometry-optimized AlOsSe2 structure from the Alexandria database. Energies are from PBE.

Values from the calculation:
- crystal system = monoclinic

Cell: 5.3232 9.9541 3.3537 Å, 90.00 128.70 90.00°
Fractional positions:
1 Al 0.0000 0.0000 0.0000
2 Al 0.5000 0.5000 0.0000
3 Os 0.0000 0.5000 0.0000
4 Os 0.5000 0.0000 0.0000
5 Se 0.2500 0.2500 0.5000
6 Se 0.2500 0.7500 0.5000
7 Se 0.7500 0.2500 0.5000
8 Se 0.7500 0.7500 0.5000

=====

No. 5
Here is a geometry-optimized AlOsSe2 structure from the Alexandria database. Energies are from PBE.

Values from the calculation:
- crystal system = tetragonal

Cell: 4.5940 4.5940 3.0703 Å, 90.00 90.00 90.00°
Fractional positions:
1 Al 0.0000 0.0000 0.0000
2 Os 0.5000 0.5000 0.0000
3 Se 0.0000 0.5000 0.5000
4 Se 0.5000 0.0000 0.5000

=====

No. 6
Here is a geometry-optimized AlOs2Se structure from the Alexandria database. Energies are from PBE.

Values from the calculation:
- crystal system = monoclinic

Cell: 2.9100 4.1783 5.3535 Å, 90.00 102.67 90.00°
Fractional positions:
1 Al 0.0000 0.0000 0.0000
2 Os 0.3830 0.5000 0.2184
3 Os 0.6170 0.5000 0.7816
4 Se 0.5000 0.0000 0.5000

=====

No. 7
Here is a geometry-optimized AlOs2Se structure from the Alexandria database. Energies are from PBE.

Values from the calculation:
- crystal system = orthorhombic

Cell: 2.8040 4.8313 9.7783 Å, 90.00 90.00 90.00°
Fractional positions:
1 Al 0.0000 0.0000 0.0000
2 Al 0.5000 0.5000 0.0000
3 Os 0.0000 0.0000 0.4552
4 Os 0.0000 0.5000 0.2239
5 Os 0.5000 0.0000 0.2239
6 Os 0.5000 0.5000 0.4552
7 Se 0.0000 0.5000 0.6800
8 Se 0.5000 0.0000 0.6800

=====

No. 8
Here is a geometry-optimized AlOsSe structure from the Alexandria database. Energies are from PBE.

Values from the calculation:
- crystal system = trigonal

Cell: 3.1209 3.1209 5.7723 Å, 90.00 90.00 120.00°
Fractional positions:
1 Al 0.0000 0.0000 0.0000
2 Os 0.6667 0.3333 0.3152
3 Se 0.3333 0.6667 0.6368

=====

| no. | uncorrected formation energy (eV/f.u.) | density (Mg/m³) |
| --- | --- | --- |
| 1 | 2.0 | 13.2 |
| 2 | 0.2 | 7.9 |
| 3 | 0.8 | 14.0 |
| 4 | 2.1 | 9.0 |
| 5 | 1.7 | 9.6 |
| 6 | 1.7 | 12.7 |
| 7 | 2.2 | 12.2 |
| 8 | 0.4 | 10.1 |